DFT (PBE-GGA) results for a relaxed structure of TiNbTe.

Values from the calculation:
- crystal system = orthorhombic
- distance to the lowest polymorph of the same formula (eV per atom) = 0.077
- N(E_F) (states/eV/atom) = 0.94
- space group = Pmm2, No. 25
- E (eV/atom) = -7.324
- uncorrected formation energy (kJ/mol of formula units) = -83.4
- theoretical density (g/cm³) = 7.71

Cell: 3.5624 4.4928 7.2249 Å, 90.00 90.00 90.00°
With the nearest neighbours (Å) after each atom.
Element x y z (fractional)
Ti1 0.0000 0.0000 0.0000  5 Te 2.76-2.89, 2 Nb 2.89
Ti2 0.0000 0.5000 0.3525  4 Te 2.80-2.96, 6 Nb 2.88
Nb1 0.5000 0.0000 0.3154  4 Te 2.82-2.94, 6 Ti 2.88-2.89
Nb2 0.5000 0.5000 0.6654  5 Te 2.80-2.89, 2 Ti 2.88
Te1 0.0000 0.0000 0.6183  3 Ti 2.76-2.96, 6 Nb 2.82-2.89
Te2 0.5000 0.5000 0.0536  6 Ti 2.80-2.89, 3 Nb 2.80-2.94



DFT (PBE-GGA) results for a relaxed structure of TlZn2SbBr8.

Values from the calculation:
- crystal system = trigonal
- N(E_F) (states/eV/atom) = 0.00
- space group = R-3, No. 148
- E (eV/atom) = -2.601
- uncorrected formation energy (kJ/mol of formula units) = -847.9
- theoretical density (g/cm³) = 4.47

Cell: 10.8747 10.8747 10.8747 Å, 36.47 36.47 36.47°
With the nearest neighbours (Å) after each atom.
Element x y z (fractional)
Tl1 0.0000 0.0000 0.0000  12 Br 3.94-4.03
Zn1 0.2490 0.2490 0.2490  4 Br 2.36-2.47
Zn2 0.7510 0.7510 0.7510  4 Br 2.36-2.47
Sb1 0.5000 0.5000 0.5000  6 Br 2.85
Br1 0.1151 0.7889 0.4300  1 Zn 2.47
Br2 0.2111 0.5700 0.8849  1 Zn 2.47
Br3 0.3266 0.3266 0.3266  1 Zn 2.36
Br4 0.4300 0.1151 0.7889  1 Zn 2.47
Br5 0.5700 0.8849 0.2111  1 Zn 2.47
Br6 0.6734 0.6734 0.6734  1 Zn 2.36
Br7 0.7889 0.4300 0.1151  1 Zn 2.47
Br8 0.8849 0.2111 0.5700  1 Zn 2.47



DFT (PBE-GGA) results for a relaxed structure of Co3SbRu.

Values from the calculation:
- crystal system = cubic
- distance to the lowest polymorph of the same formula (eV per atom) = 0.358
- N(E_F) (states/eV/atom) = 2.17
- space group = Pm-3m, No. 221
- E (eV/atom) = -5.332
- uncorrected formation energy (kJ/mol of formula units) = 777.1
- theoretical density (g/cm³) = 7.00

Cell: 4.5604 4.5604 4.5604 Å, 90.00 90.00 90.00°
With the nearest neighbours (Å) after each atom.
Element x y z (fractional)
Co1 0.0000 0.0000 0.5000  2 Sb 2.28
Co2 0.0000 0.5000 0.0000  2 Sb 2.28
Co3 0.5000 0.0000 0.0000  2 Sb 2.28
Sb1 0.0000 0.0000 0.0000  6 Co 2.28
Ru1 0.5000 0.5000 0.5000  12 Co 3.22



DFT (PBE-GGA) results for a relaxed structure of Tm3Mg5O12.

Values from the calculation:
- crystal system = cubic
- N(E_F) (states/eV/atom) = 0.69
- space group = Ia-3d, No. 230
- E (eV/atom) = -6.435
- uncorrected formation energy (kJ/mol of formula units) = -4613.5
- theoretical density (g/cm³) = 5.54

Cell: 10.8519 10.8519 10.8519 Å, 109.47 109.47 109.47°
With the nearest neighbours (Å) after each atom.
Element x y z (fractional)
Tm1 0.1250 0.2500 0.3750  8 O 2.33-2.37
Tm2 0.1250 0.3750 0.7500  8 O 2.33-2.37
Tm3 0.2500 0.3750 0.1250  8 O 2.33-2.37
Tm4 0.2500 0.8750 0.6250  8 O 2.33-2.37
Tm5 0.3750 0.1250 0.2500  8 O 2.33-2.37
Tm6 0.3750 0.7500 0.1250  8 O 2.33-2.37
Tm7 0.6250 0.2500 0.8750  8 O 2.33-2.37
Tm8 0.6250 0.8750 0.7500  8 O 2.33-2.37
Tm9 0.7500 0.1250 0.3750  8 O 2.33-2.37
Tm10 0.7500 0.6250 0.8750  8 O 2.33-2.37
Tm11 0.8750 0.6250 0.2500  8 O 2.33-2.37
Tm12 0.8750 0.7500 0.6250  8 O 2.33-2.37
Mg1 0.0000 0.0000 0.0000  6 O 2.14
Mg2 0.0000 0.0000 0.5000  6 O 2.14
Mg3 0.0000 0.5000 0.0000  6 O 2.14
Mg4 0.0000 0.5000 0.5000  6 O 2.14
Mg5 0.1250 0.7500 0.8750  4 O 1.94
Mg6 0.1250 0.8750 0.2500  4 O 1.94
Mg7 0.2500 0.1250 0.8750  4 O 1.94
Mg8 0.2500 0.6250 0.3750  4 O 1.94
Mg9 0.3750 0.2500 0.6250  4 O 1.94
Mg10 0.3750 0.6250 0.7500  4 O 1.94
Mg11 0.5000 0.0000 0.0000  6 O 2.14
Mg12 0.5000 0.0000 0.5000  6 O 2.14
Mg13 0.5000 0.5000 0.0000  6 O 2.14
Mg14 0.5000 0.5000 0.5000  6 O 2.14
Mg15 0.6250 0.3750 0.2500  4 O 1.94
Mg16 0.6250 0.7500 0.3750  4 O 1.94
Mg17 0.7500 0.3750 0.6250  4 O 1.94
Mg18 0.7500 0.8750 0.1250  4 O 1.94
Mg19 0.8750 0.1250 0.7500  4 O 1.94
Mg20 0.8750 0.2500 0.1250  4 O 1.94
O1 0.0449 0.2232 0.1316  2 Mg 1.94-2.14
O2 0.0449 0.3217 0.9133  2 Mg 1.94-2.14
O3 0.0867 0.6316 0.4084  2 Mg 1.94-2.14
O4 0.0867 0.9551 0.6783  2 Mg 1.94-2.14
O5 0.0916 0.7232 0.6783  2 Mg 1.94-2.14
O6 0.0916 0.8684 0.4133  2 Mg 1.94-2.14
O7 0.1316 0.0449 0.2232  2 Mg 1.94-2.14
O8 0.1316 0.5867 0.9084  2 Mg 1.94-2.14
O9 0.1783 0.2232 0.5916  2 Mg 1.94-2.14
O10 0.1783 0.4551 0.5867  2 Mg 1.94-2.14
O11 0.2232 0.1316 0.0449  2 Mg 1.94-2.14
O12 0.2232 0.5916 0.1783  2 Mg 1.94-2.14
O13 0.2768 0.3217 0.9084  2 Mg 1.94-2.14
O14 0.2768 0.4551 0.3684  2 Mg 1.94-2.14
O15 0.3217 0.9084 0.2768  2 Mg 1.94-2.14
O16 0.3217 0.9133 0.0449  2 Mg 1.94-2.14
O17 0.3684 0.2768 0.4551  2 Mg 1.94-2.14
O18 0.3684 0.5916 0.9133  2 Mg 1.94-2.14
O19 0.4084 0.0867 0.6316  2 Mg 1.94-2.14
O20 0.4084 0.8217 0.7768  2 Mg 1.94-2.14
O21 0.4133 0.0916 0.8684  2 Mg 1.94-2.14
O22 0.4133 0.8217 0.5449  2 Mg 1.94-2.14
O23 0.4551 0.3684 0.2768  2 Mg 1.94-2.14
O24 0.4551 0.5867 0.1783  2 Mg 1.94-2.14
O25 0.5449 0.4133 0.8217  2 Mg 1.94-2.14
O26 0.5449 0.6316 0.7232  2 Mg 1.94-2.14
O27 0.5867 0.1783 0.4551  2 Mg 1.94-2.14
O28 0.5867 0.9084 0.1316  2 Mg 1.94-2.14
O29 0.5916 0.1783 0.2232  2 Mg 1.94-2.14
O30 0.5916 0.9133 0.3684  2 Mg 1.94-2.14
O31 0.6316 0.4084 0.0867  2 Mg 1.94-2.14
O32 0.6316 0.7232 0.5449  2 Mg 1.94-2.14
O33 0.6783 0.0867 0.9551  2 Mg 1.94-2.14
O34 0.6783 0.0916 0.7232  2 Mg 1.94-2.14
O35 0.7232 0.5449 0.6316  2 Mg 1.94-2.14
O36 0.7232 0.6783 0.0916  2 Mg 1.94-2.14
O37 0.7768 0.4084 0.8217  2 Mg 1.94-2.14
O38 0.7768 0.8684 0.9551  2 Mg 1.94-2.14
O39 0.8217 0.5449 0.4133  2 Mg 1.94-2.14
O40 0.8217 0.7768 0.4084  2 Mg 1.94-2.14
O41 0.8684 0.4133 0.0916  2 Mg 1.94-2.14
O42 0.8684 0.9551 0.7768  2 Mg 1.94-2.14
O43 0.9084 0.1316 0.5867  2 Mg 1.94-2.14
O44 0.9084 0.2768 0.3217  2 Mg 1.94-2.14
O45 0.9133 0.0449 0.3217  2 Mg 1.94-2.14
O46 0.9133 0.3684 0.5916  2 Mg 1.94-2.14
O47 0.9551 0.6783 0.0867  2 Mg 1.94-2.14
O48 0.9551 0.7768 0.8684  2 Mg 1.94-2.14